{
  "formula": "La3Ge5Rh6",
  "functional": "PBE",
  "state": "relaxed",
  "spacegroup": "Pmmn, No. 59",
  "formation_energy_ev_per_atom": -0.88,
  "cell": [[4.147, 0.000, 0.000], [0.000, 12.830, 0.000], [0.000, 0.000, 10.147]],
  "species": ["La", "La", "La", "La", "La", "La", "Ge", "Ge", "Ge", "Ge", "Ge", "Ge", "Ge", "Ge", "Ge", "Ge", "Rh", "Rh", "Rh", "Rh", "Rh", "Rh", "Rh", "Rh", "Rh", "Rh", "Rh", "Rh"],
  "frac_coords": [[0.250, 0.093, 0.243], [0.250, 0.407, 0.243], [0.250, 0.750, 0.247], [0.750, 0.250, 0.753], [0.750, 0.593, 0.757], [0.750, 0.907, 0.757], [0.250, 0.076, 0.646], [0.250, 0.424, 0.646], [0.250, 0.627, 0.993], [0.250, 0.750, 0.610], [0.250, 0.873, 0.993], [0.750, 0.127, 0.007], [0.750, 0.250, 0.390], [0.750, 0.373, 0.007], [0.750, 0.576, 0.354], [0.750, 0.924, 0.354], [0.250, 0.049, 0.898], [0.250, 0.250, 0.006], [0.250, 0.250, 0.521], [0.250, 0.451, 0.898], [0.250, 0.580, 0.491], [0.250, 0.920, 0.491], [0.750, 0.080, 0.509], [0.750, 0.420, 0.509], [0.750, 0.549, 0.102], [0.750, 0.750, 0.479], [0.750, 0.750, 0.994], [0.750, 0.951, 0.102]]
}